VO2F | SCAN | PBEsol geometry

Cell: 4.9281 5.0262 8.7857 Å, 90.00 90.00 90.00°
Last column: nearest neighbours and their distance in Å.
Sites, in units of the cell vectors:
V  0.1190  0.1396  0.1260  2 O 1.65-1.68, 1 F 1.78
V  0.3810  0.8604  0.6260  2 O 1.65-1.68, 1 F 1.78
V  0.6190  0.3604  0.8740  2 O 1.65-1.68, 1 F 1.78
V  0.8810  0.6396  0.3740  2 O 1.65-1.68, 1 F 1.78
O  0.0698  0.3883  0.2500  1 V 1.68
O  0.1065  0.6550  0.5131  1 V 1.65
O  0.3935  0.3450  0.0131  1 V 1.65
O  0.4302  0.6117  0.7500  1 V 1.68
O  0.5698  0.1117  0.7500  1 V 1.68
O  0.6065  0.8450  0.4869  1 V 1.65
O  0.8935  0.1550  0.9869  1 V 1.65
O  0.9302  0.8883  0.2500  1 V 1.68
F  0.1219  0.1058  0.6231  1 V 1.78
F  0.3781  0.8942  0.1231  1 V 1.78
F  0.6219  0.3942  0.3769  1 V 1.78
F  0.8781  0.6058  0.8769  1 V 1.78

Calculated values
Its total energy is -175.14 eV per cell. The calculation puts the raw formation energy at -2.57 eV/atom.


Ta2MoW | SCAN | PBEsol geometry

Cell: 3.2018 4.4727 4.5733 Å, 90.00 90.00 90.00°
Last column: nearest neighbours and their distance in Å.
Sites, in units of the cell vectors:
Ta  0.0000  0.0000  0.0000  4 W 2.75, 4 Ta 2.79
Ta  0.5000  0.0000  0.5000  4 Mo 2.75, 4 Ta 2.79
Mo  0.0000  0.5000  0.5000  4 Ta 2.75, 4 W 2.79
W  0.5000  0.5000  0.0000  4 Ta 2.75, 4 Mo 2.79

Calculated values
Its formation energy is -0.0975 eV/atom. Its total energy is -238.13 eV per cell.